Here is a relaxed LiSn4Ir2 crystal from Alexandria via LeMat-Bulk. Energies are from GGA-PBE.

Cell lengths 4.4162, 4.4162, 27.5708 Å; angles 90.00, 90.00, 120.00 degrees
Space group R-3m (No. 166, hexagonal axes)
One atom of each set of equivalent atoms:
Li 0.0000 0.0000 0.0000 [3 per cell]
Sn 0.0000 0.0000 0.2004 [6 per cell]
Sn 0.0000 0.0000 0.3941 [6 per cell]
Ir 0.0000 0.0000 0.0981 [6 per cell]

## Properties
As for the total energy: -5.3650 eV per atom. The theoretical density is 9.3 g/cm³. The formation energy comes out at -0.27 eV per atom. The density of states at the Fermi level is 9.13 states/eV/cell.


Here is a relaxed Li8Sn6Ir crystal from Alexandria via LeMat-Bulk. Energies are from GGA-PBE.

Cell lengths 7.7655, 7.7655, 17.4169 Å; angles 90.00, 90.00, 120.00 degrees
Space group R-3 (No. 148, hexagonal axes)
One atom of each set of equivalent atoms:
Li 0.0000 0.0000 0.0925 [6 per cell]
Li 0.0433 0.2502 0.6274 [18 per cell]
Sn 0.0162 0.7322 0.2127 [18 per cell]
Ir 0.0000 0.0000 0.5000 [3 per cell]

## Properties
As for the total energy: -3.4793 eV per atom. The theoretical density is 5.3 g/cm³. The formation energy comes out at -0.27 eV per atom. The density of states at the Fermi level is 12.20 states/eV/cell.


Here is a relaxed Li2SnIr crystal from Alexandria via LeMat-Bulk. Energies are from GGA-PBE.

Cell lengths 3.859, 3.859, 4.280 Å; angles 90.00, 90.00, 90.00 degrees
Space group P4/mmm (No. 123)
One atom of each set of equivalent atoms:
Li 0.000 0.500 0.000 [2 per cell]
Sn 0.000 0.000 0.500 [1 per cell]
Ir 0.500 0.500 0.500 [1 per cell]

## Properties
As for the total energy: -4.4391 eV per atom. The theoretical density is 8.5 g/cm³. The formation energy comes out at -0.27 eV per atom. The density of states at the Fermi level is 1.56 states/eV/cell.


Here is a relaxed Li9Sn11Ir4 crystal from Alexandria via LeMat-Bulk. Energies are from GGA-PBE.

Cell lengths 13.539, 19.821, 3.484 Å; angles 90.00, 90.00, 90.00 degrees
Space group Cmmm (No. 65)
One atom of each set of equivalent atoms:
Li 0.000 0.000 0.000 [2 per cell]
Li 0.105 0.239 0.000 [8 per cell]
Li 0.142 0.427 0.000 [8 per cell]
Sn 0.000 0.130 0.500 [4 per cell]
Sn 0.000 0.339 0.500 [4 per cell]
Sn 0.000 0.500 0.500 [2 per cell]
Sn 0.199 0.000 0.500 [4 per cell]
Sn 0.237 0.326 0.500 [8 per cell]
Ir 0.151 0.102 0.000 [8 per cell]

## Properties
As for the total energy: -4.3303 eV per atom. The theoretical density is 7.6 g/cm³. The formation energy comes out at -0.30 eV per atom. The density of states at the Fermi level is 16.46 states/eV/cell.


Here is a relaxed SrLiSn2Ir crystal from Alexandria via LeMat-Bulk. Energies are from GGA-PBE.

Cell lengths 4.576, 4.576, 11.378 Å; angles 90.00, 90.00, 90.00 degrees
Space group I-4m2 (No. 119)
One atom of each set of equivalent atoms:
Sr 0.000 0.000 0.000 [2 per cell]
Li 0.000 0.500 0.750 [2 per cell]
Sn 0.000 0.000 0.369 [4 per cell]
Ir 0.000 0.500 0.250 [2 per cell]

## Properties
As for the total energy: -4.5254 eV per atom. The theoretical density is 7.3 g/cm³. The formation energy comes out at -0.43 eV per atom. The density of states at the Fermi level is 5.05 states/eV/cell.


Here is a relaxed SrLi2SnIr crystal from Alexandria via LeMat-Bulk. Energies are from GGA-PBE.

Cell lengths 4.933, 4.933, 5.055 Å; angles 90.00, 90.00, 90.00 degrees
Space group P4/mmm (No. 123)
One atom of each set of equivalent atoms:
Sr 0.000 0.000 0.000 [1 per cell]
Li 0.000 0.500 0.500 [2 per cell]
Sn 0.500 0.500 0.000 [1 per cell]
Ir 0.500 0.500 0.500 [1 per cell]

## Properties
As for the total energy: -3.9126 eV per atom. The theoretical density is 5.6 g/cm³. The formation energy comes out at -0.24 eV per atom. The density of states at the Fermi level is 1.69 states/eV/cell.